i:
VASP calculation (PBE) on a relaxed structure of Ba4HgPd.

```
data_Ba4HgPd
_cell_length_a 7.978
_cell_length_b 8.555
_cell_length_c 9.964
_cell_angle_alpha 110.07
_cell_angle_beta 107.94
_cell_angle_gamma 102.41
_space_group_name_H-M_alt 'P 1'
_space_group_IT_number 1
_space_group_name_Hall 'P 1'
loop_
_atom_site_label
_atom_site_fract_x
_atom_site_fract_y
_atom_site_fract_z
Ba1 0.786 0.650 0.587
Ba2 0.556 0.291 0.076
Ba3 0.699 0.062 0.413
Ba4 0.444 0.709 0.924
Pd1 0.820 0.070 0.140
Ba5 0.020 0.785 0.076
Ba6 0.980 0.215 0.924
Hg1 0.378 0.628 0.256
Hg2 0.622 0.372 0.744
Ba7 0.214 0.350 0.413
Ba8 0.301 0.938 0.587
Pd2 0.180 0.930 0.860
```

Computed properties:
Space-group type: No. 15

***

ii:
VASP calculation (PBE) on a relaxed structure of Ba4HgPd.

```
data_Ba4HgPd
_cell_length_a 8.135
_cell_length_b 8.146
_cell_length_c 9.610
_cell_angle_alpha 69.83
_cell_angle_beta 64.88
_cell_angle_gamma 90.10
_space_group_name_H-M_alt 'P 1'
_space_group_IT_number 1
_space_group_name_Hall 'P 1'
loop_
_atom_site_label
_atom_site_fract_x
_atom_site_fract_y
_atom_site_fract_z
Ba1 0.137 0.109 0.739
Ba2 0.863 0.891 0.261
Ba3 0.367 0.902 0.257
Hg1 0.249 0.750 0.000
Ba4 0.875 0.391 0.261
Ba5 0.374 0.402 0.257
Ba6 0.626 0.598 0.743
Pd1 0.500 0.500 0.500
Ba7 0.633 0.098 0.743
Pd2 0.000 0.000 0.500
Hg2 0.751 0.250 0.000
Ba8 0.125 0.609 0.739
```

Computed properties:
Space-group type: No. 2

***

In order of decreasing stability: i, ii.

***

i:
VASP calculation (PBE) on a relaxed structure of BaTlHg2Pd.

```
data_BaTlHg2Pd
_cell_length_a 5.372
_cell_length_b 5.372
_cell_length_c 5.305
_cell_angle_alpha 90.00
_cell_angle_beta 90.00
_cell_angle_gamma 90.00
_space_group_name_H-M_alt 'P 1'
_space_group_IT_number 1
_space_group_name_Hall 'P 1'
loop_
_atom_site_label
_atom_site_fract_x
_atom_site_fract_y
_atom_site_fract_z
Ba1 0.500 0.500 0.500
Tl1 0.000 0.000 0.500
Hg1 0.500 0.000 0.000
Pd1 0.000 0.000 0.000
Hg2 0.000 0.500 0.000
```

Computed properties:
Space-group type: No. 123

***

ii:
VASP calculation (PBE) on a relaxed structure of BaTlHg2Pd.

```
data_BaTlHg2Pd
_cell_length_a 5.376
_cell_length_b 5.376
_cell_length_c 5.850
_cell_angle_alpha 90.00
_cell_angle_beta 90.00
_cell_angle_gamma 90.00
_space_group_name_H-M_alt 'P 1'
_space_group_IT_number 1
_space_group_name_Hall 'P 1'
loop_
_atom_site_label
_atom_site_fract_x
_atom_site_fract_y
_atom_site_fract_z
Hg1 0.000 0.500 0.000
Pd1 0.000 0.000 0.000
Hg2 0.500 0.000 0.000
Tl1 0.500 0.500 0.500
Ba1 0.000 0.000 0.500
```

Computed properties:
Space-group type: No. 123

***

iii:
VASP calculation (PBE) on a relaxed structure of BaTlHg2Pd.

```
data_BaTlHg2Pd
_cell_length_a 4.684
_cell_length_b 4.762
_cell_length_c 7.214
_cell_angle_alpha 109.27
_cell_angle_beta 108.94
_cell_angle_gamma 90.00
_space_group_name_H-M_alt 'P 1'
_space_group_IT_number 1
_space_group_name_Hall 'P 1'
loop_
_atom_site_label
_atom_site_fract_x
_atom_site_fract_y
_atom_site_fract_z
Hg1 0.042 0.042 0.084
Ba1 0.436 0.436 0.871
Tl1 0.202 0.702 0.405
Pd1 0.828 0.828 0.656
Hg2 0.704 0.204 0.408
```

Computed properties:
Space-group type: No. 44

***

In order of decreasing stability: iii, i, ii.

***

i:
VASP calculation (PBE) on a relaxed structure of Ba2TlHgPd.

```
data_Ba2TlHgPd
_cell_length_a 6.141
_cell_length_b 6.141
_cell_length_c 5.261
_cell_angle_alpha 90.00
_cell_angle_beta 90.00
_cell_angle_gamma 90.00
_space_group_name_H-M_alt 'P 1'
_space_group_IT_number 1
_space_group_name_Hall 'P 1'
loop_
_atom_site_label
_atom_site_fract_x
_atom_site_fract_y
_atom_site_fract_z
Hg1 0.500 0.500 0.500
Tl1 0.000 0.000 0.500
Ba1 0.000 0.500 0.000
Ba2 0.500 0.000 0.000
Pd1 0.000 0.000 0.000
```

Computed properties:
Space-group type: No. 123

***

ii:
VASP calculation (PBE) on a relaxed structure of Ba2TlHgPd.

```
data_Ba2TlHgPd
_cell_length_a 6.086
_cell_length_b 6.086
_cell_length_c 5.292
_cell_angle_alpha 90.00
_cell_angle_beta 90.00
_cell_angle_gamma 90.00
_space_group_name_H-M_alt 'P 1'
_space_group_IT_number 1
_space_group_name_Hall 'P 1'
loop_
_atom_site_label
_atom_site_fract_x
_atom_site_fract_y
_atom_site_fract_z
Tl1 0.500 0.500 0.500
Ba1 0.000 0.500 0.000
Ba2 0.500 0.000 0.000
Pd1 0.000 0.000 0.000
Hg1 0.000 0.000 0.500
```

Computed properties:
Space-group type: No. 123

***

In order of decreasing stability: i, ii.

***

i:
VASP calculation (PBE) on a relaxed structure of BaPmHg4.

```
data_BaPmHg4
_cell_length_a 4.561
_cell_length_b 4.561
_cell_length_c 9.828
_cell_angle_alpha 90.00
_cell_angle_beta 90.00
_cell_angle_gamma 90.00
_space_group_name_H-M_alt 'P 1'
_space_group_IT_number 1
_space_group_name_Hall 'P 1'
loop_
_atom_site_label
_atom_site_fract_x
_atom_site_fract_y
_atom_site_fract_z
Hg1 0.000 0.500 0.276
Pm1 0.500 0.500 0.500
Hg2 0.500 0.000 0.276
Ba1 0.000 0.000 0.000
Hg3 0.500 0.000 0.724
Hg4 0.000 0.500 0.724
```

Computed properties:
Space-group type: No. 123

***

ii:
VASP calculation (PBE) on a relaxed structure of BaPmHg4.

```
data_BaPmHg4
_cell_length_a 6.213
_cell_length_b 6.213
_cell_length_c 6.213
_cell_angle_alpha 60.00
_cell_angle_beta 60.00
_cell_angle_gamma 60.00
_space_group_name_H-M_alt 'P 1'
_space_group_IT_number 1
_space_group_name_Hall 'P 1'
loop_
_atom_site_label
_atom_site_fract_x
_atom_site_fract_y
_atom_site_fract_z
Ba1 0.000 0.000 0.000
Hg1 0.624 0.624 0.127
Hg2 0.127 0.624 0.624
Pm1 0.250 0.250 0.250
Hg3 0.624 0.624 0.624
Hg4 0.624 0.127 0.624
```

Computed properties:
Space-group type: No. 216

***

iii:
VASP calculation (PBE) on a relaxed structure of BaPmHg4.

```
data_BaPmHg4
_cell_length_a 4.138
_cell_length_b 5.709
_cell_length_c 8.794
_cell_angle_alpha 100.43
_cell_angle_beta 76.39
_cell_angle_gamma 68.75
_space_group_name_H-M_alt 'P 1'
_space_group_IT_number 1
_space_group_name_Hall 'P 1'
loop_
_atom_site_label
_atom_site_fract_x
_atom_site_fract_y
_atom_site_fract_z
Hg1 0.683 0.988 0.646
Hg2 0.317 0.012 0.354
Ba1 0.000 0.000 0.000
Hg3 0.127 0.535 0.211
Pm1 0.500 0.500 0.500
Hg4 0.873 0.465 0.789
```

Computed properties:
Space-group type: No. 12

***

In order of decreasing stability: iii, ii, i.

***

i:
VASP calculation (PBE) on a relaxed structure of Ba2PmHg.

```
data_Ba2PmHg
_cell_length_a 3.966
_cell_length_b 3.966
_cell_length_c 12.880
_cell_angle_alpha 81.14
_cell_angle_beta 81.14
_cell_angle_gamma 60.00
_space_group_name_H-M_alt 'P 1'
_space_group_IT_number 1
_space_group_name_Hall 'P 1'
loop_
_atom_site_label
_atom_site_fract_x
_atom_site_fract_y
_atom_site_fract_z
Pm1 0.000 0.000 0.000
Ba1 0.902 0.902 0.293
Ba2 0.098 0.098 0.707
Hg1 0.500 0.500 0.500
```

Computed properties:
Space-group type: No. 166

***

ii:
VASP calculation (PBE) on a relaxed structure of Ba2PmHg.

```
data_Ba2PmHg
_cell_length_a 4.084
_cell_length_b 4.084
_cell_length_c 10.030
_cell_angle_alpha 90.00
_cell_angle_beta 90.00
_cell_angle_gamma 90.00
_space_group_name_H-M_alt 'P 1'
_space_group_IT_number 1
_space_group_name_Hall 'P 1'
loop_
_atom_site_label
_atom_site_fract_x
_atom_site_fract_y
_atom_site_fract_z
Ba1 0.000 0.000 0.787
Hg1 0.500 0.500 0.000
Pm1 0.500 0.500 0.500
Ba2 0.000 0.000 0.213
```

Computed properties:
Space-group type: No. 123

***

In order of decreasing stability: ii, i.

***

i:
VASP calculation (PBE) on a relaxed structure of BaPr2Hg.

```
data_BaPr2Hg
_cell_length_a 3.930
_cell_length_b 3.930
_cell_length_c 9.768
_cell_angle_alpha 90.00
_cell_angle_beta 90.00
_cell_angle_gamma 90.00
_space_group_name_H-M_alt 'P 1'
_space_group_IT_number 1
_space_group_name_Hall 'P 1'
loop_
_atom_site_label
_atom_site_fract_x
_atom_site_fract_y
_atom_site_fract_z
Hg1 0.500 0.500 0.000
Ba1 0.500 0.500 0.500
Pr1 0.000 0.000 0.814
Pr2 0.000 0.000 0.186
```

Computed properties:
Space-group type: No. 123

***

ii:
VASP calculation (PBE) on a relaxed structure of BaPr2Hg.

```
data_BaPr2Hg
_cell_length_a 3.943
_cell_length_b 3.943
_cell_length_c 11.713
_cell_angle_alpha 80.31
_cell_angle_beta 80.31
_cell_angle_gamma 60.00
_space_group_name_H-M_alt 'P 1'
_space_group_IT_number 1
_space_group_name_Hall 'P 1'
loop_
_atom_site_label
_atom_site_fract_x
_atom_site_fract_y
_atom_site_fract_z
Hg1 0.667 0.667 0.000
Pr1 0.068 0.068 0.797
Pr2 0.266 0.266 0.202
Ba1 0.500 0.500 0.500
```

Computed properties:
Space-group type: No. 160

***

In order of decreasing stability: i, ii.

***

i:
VASP calculation (PBE) on a relaxed structure of BaHg2Pt2.

```
data_BaHg2Pt2
_cell_length_a 7.956
_cell_length_b 7.956
_cell_length_c 3.663
_cell_angle_alpha 90.00
_cell_angle_beta 90.00
_cell_angle_gamma 90.00
_space_group_name_H-M_alt 'P 1'
_space_group_IT_number 1
_space_group_name_Hall 'P 1'
loop_
_atom_site_label
_atom_site_fract_x
_atom_site_fract_y
_atom_site_fract_z
Ba1 0.500 0.500 0.000
Hg1 0.837 0.337 0.500
Hg2 0.163 0.663 0.500
Pt1 0.125 0.375 0.000
Pt2 0.875 0.625 0.000
Hg3 0.663 0.837 0.500
Ba2 0.000 0.000 0.000
Pt3 0.375 0.875 0.000
Hg4 0.337 0.163 0.500
Pt4 0.625 0.125 0.000
```

Computed properties:
Space-group type: No. 127

***

ii:
VASP calculation (PBE) on a relaxed structure of BaHg2Pt2.

```
data_BaHg2Pt2
_cell_length_a 4.587
_cell_length_b 4.587
_cell_length_c 6.809
_cell_angle_alpha 70.32
_cell_angle_beta 70.32
_cell_angle_gamma 90.00
_space_group_name_H-M_alt 'P 1'
_space_group_IT_number 1
_space_group_name_Hall 'P 1'
loop_
_atom_site_label
_atom_site_fract_x
_atom_site_fract_y
_atom_site_fract_z
Hg1 0.250 0.750 0.500
Pt1 0.392 0.392 0.216
Hg2 0.750 0.250 0.500
Pt2 0.608 0.608 0.784
Ba1 0.000 0.000 0.000
```

Computed properties:
Space-group type: No. 139

***

iii:
VASP calculation (PBE) on a relaxed structure of BaHg2Pt2.

```
data_BaHg2Pt2
_cell_length_a 8.417
_cell_length_b 8.417
_cell_length_c 3.174
_cell_angle_alpha 90.00
_cell_angle_beta 90.00
_cell_angle_gamma 90.00
_space_group_name_H-M_alt 'P 1'
_space_group_IT_number 1
_space_group_name_Hall 'P 1'
loop_
_atom_site_label
_atom_site_fract_x
_atom_site_fract_y
_atom_site_fract_z
Hg1 0.879 0.621 0.000
Pt1 0.322 0.178 0.500
Pt2 0.678 0.822 0.500
Hg2 0.621 0.121 0.000
Ba1 0.000 0.000 0.000
Hg3 0.379 0.879 0.000
Pt3 0.822 0.322 0.500
Pt4 0.178 0.678 0.500
Hg4 0.121 0.379 0.000
Ba2 0.500 0.500 0.000
```

Computed properties:
Space-group type: No. 127

***

In order of decreasing stability: ii, i, iii.

***

i:
VASP calculation (PBE) on a relaxed structure of Ba4Hg2Pt.

```
data_Ba4Hg2Pt
_cell_length_a 6.183
_cell_length_b 6.183
_cell_length_c 9.548
_cell_angle_alpha 71.11
_cell_angle_beta 71.11
_cell_angle_gamma 90.00
_space_group_name_H-M_alt 'P 1'
_space_group_IT_number 1
_space_group_name_Hall 'P 1'
loop_
_atom_site_label
_atom_site_fract_x
_atom_site_fract_y
_atom_site_fract_z
Ba1 0.500 0.000 0.000
Hg1 0.392 0.392 0.216
Ba2 0.813 0.813 0.375
Ba3 0.187 0.187 0.625
Ba4 0.000 0.500 0.000
Hg2 0.608 0.608 0.784
Pt1 0.000 0.000 0.000
```

Computed properties:
Space-group type: No. 139

***

ii:
VASP calculation (PBE) on a relaxed structure of Ba4Hg2Pt.

```
data_Ba4Hg2Pt
_cell_length_a 4.935
_cell_length_b 7.198
_cell_length_c 8.970
_cell_angle_alpha 103.40
_cell_angle_beta 105.97
_cell_angle_gamma 90.00
_space_group_name_H-M_alt 'P 1'
_space_group_IT_number 1
_space_group_name_Hall 'P 1'
loop_
_atom_site_label
_atom_site_fract_x
_atom_site_fract_y
_atom_site_fract_z
Hg1 0.237 0.356 0.474
Ba1 0.149 0.823 0.299
Hg2 0.763 0.644 0.526
Ba2 0.851 0.177 0.701
Ba3 0.420 0.734 0.840
Ba4 0.580 0.266 0.160
Pt1 0.000 0.000 0.000
```

Computed properties:
Space-group type: No. 12

***

In order of decreasing stability: ii, i.

***

i:
VASP calculation (PBE) on a relaxed structure of Ba4HgPt.

```
data_Ba4HgPt
_cell_length_a 7.918
_cell_length_b 8.355
_cell_length_c 9.735
_cell_angle_alpha 72.55
_cell_angle_beta 66.05
_cell_angle_gamma 90.01
_space_group_name_H-M_alt 'P 1'
_space_group_IT_number 1
_space_group_name_Hall 'P 1'
loop_
_atom_site_label
_atom_site_fract_x
_atom_site_fract_y
_atom_site_fract_z
Ba1 0.335 0.011 0.207
Ba2 0.457 0.511 0.208
Pt1 0.500 0.500 0.500
Ba3 0.209 0.150 0.678
Ba4 0.113 0.650 0.678
Ba5 0.665 0.989 0.793
Hg1 0.207 0.750 0.000
Hg2 0.793 0.250 0.000
Pt2 0.000 0.000 0.500
Ba6 0.791 0.850 0.322
Ba7 0.887 0.350 0.322
Ba8 0.543 0.489 0.792
```

Computed properties:
Space-group type: No. 2

***

ii:
VASP calculation (PBE) on a relaxed structure of Ba4HgPt.

```
data_Ba4HgPt
_cell_length_a 7.948
_cell_length_b 8.532
_cell_length_c 9.995
_cell_angle_alpha 109.94
_cell_angle_beta 107.79
_cell_angle_gamma 102.46
_space_group_name_H-M_alt 'P 1'
_space_group_IT_number 1
_space_group_name_Hall 'P 1'
loop_
_atom_site_label
_atom_site_fract_x
_atom_site_fract_y
_atom_site_fract_z
Ba1 0.448 0.716 0.924
Ba2 0.700 0.062 0.410
Ba3 0.025 0.792 0.076
Pt1 0.821 0.071 0.143
Ba4 0.210 0.348 0.410
Ba5 0.300 0.938 0.590
Hg1 0.378 0.628 0.256
Pt2 0.179 0.929 0.857
Hg2 0.622 0.372 0.744
Ba6 0.552 0.284 0.076
Ba7 0.975 0.208 0.924
Ba8 0.790 0.652 0.590
```

Computed properties:
Space-group type: No. 15

***

In order of decreasing stability: ii, i.

***

i:
VASP calculation (PBE) on a relaxed structure of Ba3HgPt.

```
data_Ba3HgPt
_cell_length_a 8.579
_cell_length_b 8.652
_cell_length_c 14.428
_cell_angle_alpha 107.01
_cell_angle_beta 90.00
_cell_angle_gamma 119.72
_space_group_name_H-M_alt 'P 1'
_space_group_IT_number 1
_space_group_name_Hall 'P 1'
loop_
_atom_site_label
_atom_site_fract_x
_atom_site_fract_y
_atom_site_fract_z
Ba1 0.593 0.293 0.816
Hg1 0.696 0.713 0.367
Pt1 0.277 0.000 0.250
Pt2 0.000 0.500 0.500
Ba2 0.117 0.339 0.869
Ba3 0.685 0.867 0.936
Hg2 0.018 0.713 0.867
Pt3 0.723 0.000 0.750
Ba4 0.700 0.293 0.316
Ba5 0.819 0.133 0.564
Ba6 0.300 0.707 0.684
Hg3 0.982 0.287 0.133
Ba7 0.407 0.707 0.184
Hg4 0.304 0.287 0.633
Ba8 0.222 0.339 0.369
Ba9 0.181 0.867 0.436
Pt4 0.500 0.500 0.000
Ba10 0.883 0.661 0.131
Ba11 0.315 0.133 0.064
Ba12 0.778 0.661 0.631
```

Computed properties:
Space-group type: No. 15

***

ii:
VASP calculation (PBE) on a relaxed structure of Ba3HgPt.

```
data_Ba3HgPt
_cell_length_a 6.188
_cell_length_b 6.188
_cell_length_c 6.188
_cell_angle_alpha 90.00
_cell_angle_beta 90.00
_cell_angle_gamma 90.00
_space_group_name_H-M_alt 'P 1'
_space_group_IT_number 1
_space_group_name_Hall 'P 1'
loop_
_atom_site_label
_atom_site_fract_x
_atom_site_fract_y
_atom_site_fract_z
Ba1 0.500 0.000 0.000
Ba2 0.000 0.500 0.000
Ba3 0.000 0.000 0.500
Pt1 0.000 0.000 0.000
Hg1 0.500 0.500 0.500
```

Computed properties:
Space-group type: No. 221

***

In order of decreasing stability: i, ii.

***

i:
VASP calculation (PBE) on a relaxed structure of RbBa2HgPt.

```
data_RbBa2HgPt
_cell_length_a 6.248
_cell_length_b 6.248
_cell_length_c 5.561
_cell_angle_alpha 90.00
_cell_angle_beta 90.00
_cell_angle_gamma 90.00
_space_group_name_H-M_alt 'P 1'
_space_group_IT_number 1
_space_group_name_Hall 'P 1'
loop_
_atom_site_label
_atom_site_fract_x
_atom_site_fract_y
_atom_site_fract_z
Ba1 0.500 0.000 0.000
Ba2 0.000 0.500 0.000
Rb1 0.500 0.500 0.500
Pt1 0.000 0.000 0.000
Hg1 0.000 0.000 0.500
```

Computed properties:
Space-group type: No. 123

***

ii:
VASP calculation (PBE) on a relaxed structure of RbBa2HgPt.

```
data_RbBa2HgPt
_cell_length_a 6.128
_cell_length_b 6.128
_cell_length_c 6.443
_cell_angle_alpha 90.00
_cell_angle_beta 90.00
_cell_angle_gamma 90.00
_space_group_name_H-M_alt 'P 1'
_space_group_IT_number 1
_space_group_name_Hall 'P 1'
loop_
_atom_site_label
_atom_site_fract_x
_atom_site_fract_y
_atom_site_fract_z
Pt1 0.000 0.000 0.000
Ba1 0.000 0.500 0.000
Ba2 0.500 0.000 0.000
Rb1 0.000 0.000 0.500
Hg1 0.500 0.500 0.500
```

Computed properties:
Space-group type: No. 123

***

In order of decreasing stability: i, ii.